(1)
Density functional theory data (PBE) for a geometry-optimized La4SmTh structure.

Properties
**Space-group type**: C2/m, No. 12

abc: 3.528 6.126 11.730
angles: 116.75 90.00 106.74
Positions (direct):
Sm 0.000 0.000 0.500
Th 0.500 0.000 0.000
La 0.664 0.328 0.339
La 0.155 0.309 0.843
La 0.845 0.691 0.157
La 0.336 0.672 0.661

(2)
Density functional theory data (PBE) for a geometry-optimized NiIr2W structure.

Properties
**Space-group type**: Cmmm, No. 65

abc: 4.658 4.658 2.753
angles: 90.00 90.00 108.08
Positions (direct):
Ir 0.000 0.000 0.000
W 0.000 0.500 0.500
Ni 0.500 0.000 0.500
Ir 0.500 0.500 0.000

(3)
Density functional theory data (PBE) for a geometry-optimized ErPuTh structure.

Properties
**Space-group type**: I4mm, No. 107

abc: 3.526 3.526 7.592
angles: 103.43 103.43 90.00
Positions (direct):
Pu 0.955 0.955 0.910
Th 0.611 0.611 0.223
Er 0.284 0.284 0.567

(4)
Density functional theory data (PBE) for a geometry-optimized SrLiLa2Pt structure.

Properties
**Space-group type**: P4/mmm, No. 123

abc: 5.701 5.701 5.391
angles: 90.00 90.00 90.00
Positions (direct):
La 0.500 0.000 0.000
Sr 0.500 0.500 0.500
Li 0.000 0.000 0.500
Pt 0.000 0.000 0.000
La 0.000 0.500 0.000

(5)
Density functional theory data (PBE) for a geometry-optimized Cs2TlCdHg6 structure.

Properties
**Space-group type**: Fm-3m, No. 225

abc: 8.321 8.321 8.321
angles: 60.00 60.00 90.00
Positions (direct):
Hg 0.255 0.255 0.490
Hg 0.255 0.255 0.000
Hg 0.745 0.745 0.000
Hg 0.255 0.745 0.000
Cd 0.500 0.500 0.000
Cs 0.750 0.250 0.500
Hg 0.745 0.745 0.510
Cs 0.250 0.750 0.500
Hg 0.745 0.255 0.000
Tl 0.000 0.000 0.000

(6)
Density functional theory data (PBE) for a geometry-optimized CaInTeO6 structure.

Properties
**Formation energy (no corrections)**: -1335 kJ/mol of formula units
**Space-group type**: P-31c, No. 163

abc: 5.485 5.485 9.843
angles: 90.00 90.00 120.00
Positions (direct):
O 0.967 0.623 0.861
O 0.377 0.344 0.861
O 0.377 0.033 0.639
O 0.967 0.344 0.639
In 0.667 0.333 0.250
O 0.344 0.377 0.361
Ca 0.000 0.000 0.500
In 0.333 0.667 0.750
O 0.656 0.033 0.861
O 0.033 0.377 0.139
O 0.344 0.967 0.139
O 0.623 0.656 0.139
O 0.623 0.967 0.361
O 0.033 0.656 0.361
Te 0.333 0.667 0.250
Ca 0.000 0.000 0.000
Te 0.667 0.333 0.750
O 0.656 0.623 0.639

(7)
Density functional theory data (PBE) for a geometry-optimized PmTeF6 structure.

Properties
**Formation energy (no corrections)**: -2128 kJ/mol of formula units
**Space-group type**: C2/m, No. 12

abc: 4.777 4.777 5.884
angles: 93.49 93.49 108.02
Positions (direct):
F 0.539 0.862 0.798
Te 0.500 0.500 0.500
F 0.138 0.461 0.202
Pm 0.000 0.000 0.000
F 0.461 0.138 0.202
F 0.807 0.807 0.328
F 0.862 0.539 0.798
F 0.193 0.193 0.672

(8)
Density functional theory data (PBE) for a geometry-optimized Li2CeGeSe4 structure.

Properties
**Formation energy (no corrections)**: -870 kJ/mol of formula units
**Space-group type**: P2/m, No. 10

abc: 4.096 6.740 7.085
angles: 70.28 90.00 90.00
Positions (direct):
Ce 0.000 0.500 0.500
Li 0.000 0.000 0.000
Se 0.500 0.754 0.245
Se 0.500 0.246 0.755
Li 0.500 0.000 0.500
Se 0.000 0.252 0.249
Ge 0.500 0.500 0.000
Se 0.000 0.748 0.751

Calculated values (eV per cell) of uncorrected energy for the records, taken in order: -30.814; -36.790; -25.989; -21.182; -7.873; -102.938; -41.177; -37.332.